Record 1
MgHgCl2 | SCAN | PBEsol geometry

Unit cell a=6.466 b=7.870 c=4.402 alpha=90.00 beta=118.49 gamma=90.00
Space group C2/m (No. 12)
Unique sites:
Mg 0.000 0.000 0.000 [2 per cell]
Hg 0.000 0.500 0.000 [2 per cell]
Cl 0.250 0.250 0.500 [4 per cell]

**Energy relative to the elements, uncorrected**: -650.6 meV/atom
**Energy above the lowest structure with this stoichiometry**: 0.8865 eV/atom

***

Record 2
MgHgCl2 | SCAN | PBEsol geometry

Unit cell a=3.370 b=5.681 c=9.421 alpha=90.00 beta=90.00 gamma=90.00
Space group Imm2 (No. 44)
Unique sites:
Mg 0.000 0.000 0.000 [2 per cell]
Hg 0.000 0.500 0.259 [2 per cell]
Cl 0.000 0.000 0.510 [2 per cell]
Cl 0.000 0.500 0.680 [2 per cell]

**Energy relative to the elements, uncorrected**: -1109.6 meV/atom
**Energy above the lowest structure with this stoichiometry**: 0.4275 eV/atom

***

Record 3
MgHgCl2 | SCAN | PBEsol geometry

Unit cell a=6.186 b=3.571 c=9.646 alpha=90.00 beta=101.63 gamma=90.00
Space group C2/m (No. 12)
Unique sites:
Mg 0.000 0.000 0.000 [2 per cell]
Hg 0.000 0.500 0.500 [2 per cell]
Cl 0.213 0.500 0.147 [4 per cell]

**Energy relative to the elements, uncorrected**: -1537.1 meV/atom
**Energy above the lowest structure with this stoichiometry**: 0.0000 eV/atom

***

Record 4
MgHgCl2 | SCAN | PBEsol geometry

Unit cell a=3.473 b=3.473 c=9.226 alpha=90.00 beta=90.00 gamma=90.00
Space group P4mm (No. 99)
Unique sites:
Mg 0.000 0.000 0.000 [1 per cell]
Hg 0.500 0.500 0.506 [1 per cell]
Cl 0.000 0.000 0.236 [1 per cell]
Cl 0.500 0.500 0.905 [1 per cell]

**Energy relative to the elements, uncorrected**: -1158.4 meV/atom
**Energy above the lowest structure with this stoichiometry**: 0.3787 eV/atom

***

Record 5
MgHgCl2 | SCAN | PBEsol geometry

Unit cell a=6.654 b=6.663 c=3.953 alpha=90.00 beta=90.00 gamma=90.00
Space group Cmmm (No. 65)
Unique sites:
Mg 0.000 0.000 0.000 [2 per cell]
Hg 0.000 0.500 0.000 [2 per cell]
Cl 0.250 0.250 0.500 [4 per cell]

**Energy relative to the elements, uncorrected**: -657.6 meV/atom
**Energy above the lowest structure with this stoichiometry**: 0.8795 eV/atom

***

Record 6
MgHgCl2 | SCAN | PBEsol geometry

Unit cell a=5.486 b=3.551 c=5.848 alpha=90.00 beta=115.13 gamma=90.00
Space group Pm (No. 6)
Unique sites:
Mg 0.000 0.000 0.000 [1 per cell]
Hg 0.307 0.500 0.835 [1 per cell]
Cl 0.591 0.000 0.635 [1 per cell]
Cl 0.940 0.500 0.246 [1 per cell]

**Energy relative to the elements, uncorrected**: -1293.7 meV/atom
**Energy above the lowest structure with this stoichiometry**: 0.2434 eV/atom

***

Question: Which value of energy above the lowest structure with this stoichiometry does entry 5 give?
Answer: 0.8795 eV/atom

***

Question: Among the records above, which one has the lowest energy relative to the elements, uncorrected?
Answer: number 3

***

What did the fourth record say?
MgHgCl2 | SCAN | PBEsol geometry

Unit cell a=3.473 b=3.473 c=9.226 alpha=90.00 beta=90.00 gamma=90.00
Space group P4mm (No. 99)
Unique sites:
Mg 0.000 0.000 0.000 [1 per cell]
Hg 0.500 0.500 0.506 [1 per cell]
Cl 0.000 0.000 0.236 [1 per cell]
Cl 0.500 0.500 0.905 [1 per cell]

**Energy relative to the elements, uncorrected**: -1158.4 meV/atom
**Energy above the lowest structure with this stoichiometry**: 0.3787 eV/atom